# 1
## Cs6Ba (GGA-PBE)

Data for a relaxed structure of Cs6Ba.

Lattice parameters (Å, degrees): 10.974 10.974 10.974 109.47 109.47 109.47
Fractional positions:
Cs1 0.250 0.500 0.750
Cs2 0.250 0.750 0.500
Cs3 0.500 0.250 0.750
Cs4 0.500 0.750 0.250
Cs5 0.750 0.250 0.500
Cs6 0.750 0.500 0.250
Ba1 0.000 0.000 0.000

Values from the calculation:
* calculated density: 1.53 g/cm³
* ΔH_f (0 K): 419 meV per atom
* DOS(E_F): 8.0 states/eV/f.u.

=====

# 2
## SmNiPt (GGA-PBE)

Data for a relaxed structure of SmNiPt.

Lattice parameters (Å, degrees): 5.309 5.309 5.309 121.12 117.66 91.08
Fractional positions:
Sm1 0.371 0.121 0.250
Sm2 0.629 0.879 0.750
Ni1 0.000 0.000 0.500
Ni2 0.000 0.500 0.000
Pt1 0.000 0.500 0.500
Pt2 0.500 0.500 0.000

Values from the calculation:
* calculated density: 12.59 g/cm³
* ΔH_f (0 K): -789 meV per atom
* DOS(E_F): 1.5 states/eV/f.u.

=====

# 3
## Pm6NdSm4 (GGA-PBE)

Data for a relaxed structure of Pm6NdSm4.

Lattice parameters (Å, degrees): 9.957 9.957 9.957 140.97 140.97 56.39
Fractional positions:
Pm1 0.000 0.500 0.500
Pm2 0.191 0.191 0.642
Pm3 0.451 0.809 0.000
Pm4 0.500 0.000 0.500
Pm5 0.549 0.549 0.358
Pm6 0.809 0.451 0.000
Nd1 0.000 0.000 0.000
Sm1 0.011 0.633 0.000
Sm2 0.367 0.367 0.377
Sm3 0.633 0.011 0.000
Sm4 0.989 0.989 0.623

Values from the calculation:
* calculated density: 6.91 g/cm³
* ΔH_f (0 K): 292 meV per atom
* DOS(E_F): 18.3 states/eV/f.u.